This record from the Alexandria database describes an optimized crystal structure of ReMoIr. The functional is PBE.

Cell: 4.857 4.857 4.857 Å, 140.37 140.37 57.29°
Fractional coordinates of all 3 atoms:
Re (0.672, 0.672, 0.000)
Ir (0.998, 0.998, 0.000)
Mo (0.330, 0.330, 0.000)

Calculated values
M_tot in μB/cell: 0.00
Space-group type: I4mm
ΔE_f in eV per atom: 0.2395